Run P
# NaLa2Co GGA-PBE optimized geometry
data_NaLa2Co
_chemical_formula_sum 'Na2 La4 Co2'
_space_group_name_H-M_alt 'P 1 21/m 1'
_space_group_IT_number 11
_cell_length_a 3.986
_cell_length_b 5.691
_cell_length_c 11.505
_cell_angle_alpha 90.00
_cell_angle_beta 99.77
_cell_angle_gamma 90.00
loop_
_space_group_symop_operation_xyz
'x,y,z'
'-x,-y,-z'
'-x,y+1/2,-z'
'x,-y+1/2,z'
loop_
_atom_site_label
_atom_site_type_symbol
_atom_site_fract_x
_atom_site_fract_y
_atom_site_fract_z
_atom_site_occupancy
Na1 Na 0.043 0.250 0.081 1
La1 La 0.212 0.250 0.424 1
La2 La 0.379 0.250 0.760 1
Co1 Co 0.197 0.750 0.391 1
# - Density of states at the Fermi level: 3.16 states/eV/f.u.

Run Q
# NaLa2Co GGA-PBE optimized geometry
data_NaLa2Co
_chemical_formula_sum 'Na1 La2 Co1'
_space_group_name_H-M_alt 'P 4/m m m'
_space_group_IT_number 123
_space_group_name_Hall '-P 4 2'
_cell_length_a 3.528
_cell_length_b 3.528
_cell_length_c 9.588
_cell_angle_alpha 90.00
_cell_angle_beta 90.00
_cell_angle_gamma 90.00
loop_
_atom_site_label
_atom_site_type_symbol
_atom_site_fract_x
_atom_site_fract_y
_atom_site_fract_z
_atom_site_occupancy
Na1 Na 0.000 0.000 0.000 1
La1 La 0.500 0.500 0.330 1
Co1 Co 0.000 0.000 0.500 1
# - Density of states at the Fermi level: 4.68 states/eV/f.u.

In eV/atom, relative to the most stable structure: run P 0.000; run Q 0.066.

Run P
# NaLa2Co2 GGA-PBE optimized geometry
data_NaLa2Co2
_chemical_formula_sum 'Na2 La4 Co4'
_space_group_name_H-M_alt 'P 4/m b m'
_space_group_IT_number 127
_space_group_name_Hall '-P 4 2ab'
_cell_length_a 8.310
_cell_length_b 8.310
_cell_length_c 3.318
_cell_angle_alpha 90.00
_cell_angle_beta 90.00
_cell_angle_gamma 90.00
loop_
_atom_site_label
_atom_site_type_symbol
_atom_site_fract_x
_atom_site_fract_y
_atom_site_fract_z
_atom_site_occupancy
Na1 Na 0.000 0.000 0.000 1
La1 La 0.147 0.353 0.000 1
Co1 Co 0.137 0.637 0.500 1
# - Density of states at the Fermi level: 4.47 states/eV/f.u.

Run Q
# NaLa2Co2 GGA-PBE optimized geometry
data_NaLa2Co2
_chemical_formula_sum 'Na2 La4 Co4'
_space_group_name_H-M_alt 'P 4/m b m'
_space_group_IT_number 127
_space_group_name_Hall '-P 4 2ab'
_cell_length_a 7.922
_cell_length_b 7.922
_cell_length_c 3.678
_cell_angle_alpha 90.00
_cell_angle_beta 90.00
_cell_angle_gamma 90.00
loop_
_atom_site_label
_atom_site_type_symbol
_atom_site_fract_x
_atom_site_fract_y
_atom_site_fract_z
_atom_site_occupancy
Na1 Na 0.000 0.000 0.000 1
La1 La 0.157 0.343 0.500 1
Co1 Co 0.122 0.622 0.000 1
# - Density of states at the Fermi level: 6.89 states/eV/f.u.

Run R
# NaLa2Co2 GGA-PBE optimized geometry
data_NaLa2Co2
_chemical_formula_sum 'Na2 La4 Co4'
_space_group_name_H-M_alt 'I 4/m m m'
_space_group_IT_number 139
_space_group_name_Hall '-I 4 2'
_cell_length_a 3.746
_cell_length_b 3.746
_cell_length_c 20.027
_cell_angle_alpha 90.00
_cell_angle_beta 90.00
_cell_angle_gamma 90.00
loop_
_atom_site_label
_atom_site_type_symbol
_atom_site_fract_x
_atom_site_fract_y
_atom_site_fract_z
_atom_site_occupancy
Na1 Na 0.000 0.000 0.000 1
La1 La 0.000 0.000 0.344 1
Co1 Co 0.000 0.500 0.250 1
# - Density of states at the Fermi level: 4.58 states/eV/f.u.

In eV/atom, relative to the most stable structure: run P 0.114; run Q 0.000; run R 0.028.